# 1
This record from the Alexandria database describes crystalline ScAgAs2 at its relaxed geometry. The functional is PBE.

Structure (extended XYZ):
```
8
Lattice="-2.157 1.756 3.712 -3.877 -2.253 -1.187 -0.580 -6.832 5.794" Properties=species:S:1:pos:R:3 pbc="T T T"
As -2.840 -2.895 1.174
As -1.976 -0.893 3.617
As -2.701 -5.312 5.292
As -5.711 -5.556 6.556
Ag 0.000 0.000 0.000
Ag -2.877 -2.662 5.384
Sc -3.017 -0.248 1.262
Sc -3.737 -4.666 2.935
```

Calculated values
Calculated formation energy: -218 meV/atom
Calculated total energy: -38.71 eV/cell
Crystal system: tetragonal
N(E_F): 1.975 states/eV/f.u.

# 2
This record from the Alexandria database describes crystalline Sc3AgAs at its relaxed geometry. The functional is PBE.

Structure (extended XYZ):
```
5
Lattice="-1.035 2.002 4.567 -2.285 -4.337 1.383 4.433 -1.768 1.779" Properties=species:S:1:pos:R:3 pbc="T T T"
Sc -0.518 1.001 2.284
Sc -1.142 -2.168 0.691
Sc 2.216 -0.884 0.890
Ag 0.000 0.000 0.000
As 0.557 -2.051 3.865
```

Calculated values
Calculated formation energy: 204 meV/atom
Calculated total energy: -25.47 eV/cell
Energy above the most stable polymorph in this dataset: 41.06 kJ per mole of atoms
Crystal system: cubic
N(E_F): 4.982 states/eV/f.u.

# 3
This record from the Alexandria database describes crystalline ScAgAs2 at its relaxed geometry. The functional is PBE.

Structure (extended XYZ):
```
4
Lattice="3.587 0.184 0.000 -0.178 3.587 0.000 0.000 0.000 6.084" Properties=species:S:1:pos:R:3 pbc="T T T"
Sc 1.704 1.885 1.521
As 0.000 0.000 0.179
As 0.000 0.000 2.863
Ag 1.704 1.885 4.563
```

Calculated values
Calculated formation energy: -378 meV/atom
Calculated total energy: -19.99 eV/cell
Crystal system: orthorhombic
N(E_F): 2.913 states/eV/f.u.

# 4
This record from the Alexandria database describes crystalline ScAgAs2 at its relaxed geometry. The functional is PBE.

Structure (extended XYZ):
```
4
Lattice="-0.402 -2.980 -9.314 -3.261 -3.808 -8.406 -2.714 -0.897 -9.361" Properties=species:S:1:pos:R:3 pbc="T T T"
As -1.548 -1.865 -6.573
As -0.039 -0.047 -0.164
Sc -3.189 -3.843 -13.542
Ag -4.790 -5.773 -20.342
```

Calculated values
Calculated formation energy: 68 meV/atom
Calculated total energy: -18.21 eV/cell
Crystal system: trigonal
N(E_F): 4.067 states/eV/f.u.